Entry 1:
A plane-wave DFT calculation with PBE was carried out for a relaxed ScPb2 crystal.

Output
* density of states at the Fermi level: 1.9 states/eV/f.u.
* theoretical density: 8.48 g/cm3
* total energy: -4.76 eV/atom

Cell and atoms, written as CIF:
```
data_ScPb2
_cell_length_a 5.181
_cell_length_b 5.181
_cell_length_c 3.350
_cell_angle_alpha 90.00
_cell_angle_beta 90.00
_cell_angle_gamma 90.00
_space_group_name_H-M_alt 'P 1'
_space_group_IT_number 1
_space_group_name_Hall 'P 1'
loop_
_atom_site_label
_atom_site_fract_x
_atom_site_fract_y
_atom_site_fract_z
Sc1 0.000 0.000 0.000
Pb1 0.000 0.500 0.500
Pb2 0.500 0.000 0.500
```


Entry 2:
A plane-wave DFT calculation with PBE was carried out for a relaxed Sc2PbSe crystal.

Output
* density of states at the Fermi level: 2.4 states/eV/f.u.
* theoretical density: 6.75 g/cm3
* uncorrected formation energy: -0.97 eV/atom
* total energy: -5.94 eV/atom

Cell and atoms, written as CIF:
```
data_Sc2PbSe
_cell_length_a 7.855
_cell_length_b 7.855
_cell_length_c 7.855
_cell_angle_alpha 27.71
_cell_angle_beta 27.71
_cell_angle_gamma 27.71
_space_group_name_H-M_alt 'P 1'
_space_group_IT_number 1
_space_group_name_Hall 'P 1'
loop_
_atom_site_label
_atom_site_fract_x
_atom_site_fract_y
_atom_site_fract_z
Sc1 0.236 0.236 0.236
Sc2 0.764 0.764 0.764
Pb1 0.000 0.000 0.000
Se1 0.500 0.500 0.500
```


Entry 3:
A plane-wave DFT calculation with PBE was carried out for a relaxed Sc2PbSe crystal.

Output
* density of states at the Fermi level: 2.6 states/eV/f.u.
* theoretical density: 6.77 g/cm3
* uncorrected formation energy: -0.69 eV/atom
* total energy: -5.66 eV/atom

Cell and atoms, written as CIF:
```
data_Sc2PbSe
_cell_length_a 5.231
_cell_length_b 5.231
_cell_length_c 3.493
_cell_angle_alpha 100.05
_cell_angle_beta 100.05
_cell_angle_gamma 93.22
_space_group_name_H-M_alt 'P 1'
_space_group_IT_number 1
_space_group_name_Hall 'P 1'
loop_
_atom_site_label
_atom_site_fract_x
_atom_site_fract_y
_atom_site_fract_z
Sc1 0.000 0.500 0.000
Sc2 0.500 0.000 0.000
Pb1 0.000 0.000 0.500
Se1 0.500 0.500 0.500
```


Entry 4:
A plane-wave DFT calculation with PBE was carried out for a relaxed ScPb2Se crystal.

Output
* density of states at the Fermi level: 2.1 states/eV/f.u.
* theoretical density: 8.25 g/cm3
* uncorrected formation energy: -0.35 eV/atom
* total energy: -4.66 eV/atom

Cell and atoms, written as CIF:
```
data_ScPb2Se
_cell_length_a 6.141
_cell_length_b 6.141
_cell_length_c 4.511
_cell_angle_alpha 109.32
_cell_angle_beta 109.32
_cell_angle_gamma 120.83
_space_group_name_H-M_alt 'P 1'
_space_group_IT_number 1
_space_group_name_Hall 'P 1'
loop_
_atom_site_label
_atom_site_fract_x
_atom_site_fract_y
_atom_site_fract_z
Sc1 0.000 0.000 0.000
Pb1 0.000 0.500 0.500
Pb2 0.500 0.000 0.500
Se1 0.500 0.500 0.000
```


Entry 5:
A plane-wave DFT calculation with PBE was carried out for a relaxed ScPbSe2 crystal.

Output
* density of states at the Fermi level: 2.0 states/eV/f.u.
* theoretical density: 6.08 g/cm3
* uncorrected formation energy: -0.87 eV/atom
* total energy: -5.13 eV/atom

Cell and atoms, written as CIF:
```
data_ScPbSe2
_cell_length_a 5.176
_cell_length_b 5.532
_cell_length_c 5.532
_cell_angle_alpha 44.97
_cell_angle_beta 90.00
_cell_angle_gamma 90.00
_space_group_name_H-M_alt 'P 1'
_space_group_IT_number 1
_space_group_name_Hall 'P 1'
loop_
_atom_site_label
_atom_site_fract_x
_atom_site_fract_y
_atom_site_fract_z
Sc1 0.000 0.000 0.000
Pb1 0.500 0.237 0.237
Se1 0.000 0.656 0.656
Se2 0.500 0.936 0.936
```


Entry 6:
A plane-wave DFT calculation with PBE was carried out for a relaxed ScPb2Se crystal.

Output
* density of states at the Fermi level: 2.6 states/eV/f.u.
* theoretical density: 8.67 g/cm3
* uncorrected formation energy: -0.30 eV/atom
* total energy: -4.61 eV/atom

Cell and atoms, written as CIF:
```
data_ScPb2Se
_cell_length_a 3.613
_cell_length_b 5.337
_cell_length_c 5.349
_cell_angle_alpha 90.00
_cell_angle_beta 90.00
_cell_angle_gamma 90.00
_space_group_name_H-M_alt 'P 1'
_space_group_IT_number 1
_space_group_name_Hall 'P 1'
loop_
_atom_site_label
_atom_site_fract_x
_atom_site_fract_y
_atom_site_fract_z
Sc1 0.000 0.000 0.000
Pb1 0.000 0.500 0.500
Pb2 0.500 0.000 0.500
Se1 0.500 0.500 0.000
```


Entry 7:
A plane-wave DFT calculation with PBE was carried out for a relaxed Sc2PbSe crystal.

Output
* density of states at the Fermi level: 4.4 states/eV/f.u.
* theoretical density: 7.01 g/cm3
* uncorrected formation energy: -0.80 eV/atom
* total energy: -5.76 eV/atom

Cell and atoms, written as CIF:
```
data_Sc2PbSe
_cell_length_a 3.416
_cell_length_b 3.416
_cell_length_c 7.775
_cell_angle_alpha 90.00
_cell_angle_beta 90.00
_cell_angle_gamma 100.91
_space_group_name_H-M_alt 'P 1'
_space_group_IT_number 1
_space_group_name_Hall 'P 1'
loop_
_atom_site_label
_atom_site_fract_x
_atom_site_fract_y
_atom_site_fract_z
Sc1 0.000 0.000 0.220
Sc2 0.000 0.000 0.780
Pb1 0.500 0.500 0.500
Se1 0.500 0.500 0.000
```


Entry 8:
A plane-wave DFT calculation with PBE was carried out for a relaxed Sc2PbSe crystal.

Output
* density of states at the Fermi level: 2.1 states/eV/f.u.
* theoretical density: 6.46 g/cm3
* uncorrected formation energy: -0.80 eV/atom
* total energy: -5.76 eV/atom

Cell and atoms, written as CIF:
```
data_Sc2PbSe
_cell_length_a 4.364
_cell_length_b 6.225
_cell_length_c 6.225
_cell_angle_alpha 34.84
_cell_angle_beta 90.00
_cell_angle_gamma 90.00
_space_group_name_H-M_alt 'P 1'
_space_group_IT_number 1
_space_group_name_Hall 'P 1'
loop_
_atom_site_label
_atom_site_fract_x
_atom_site_fract_y
_atom_site_fract_z
Sc1 0.000 0.000 0.000
Sc2 0.500 0.267 0.267
Pb1 0.500 0.540 0.540
Se1 0.000 0.781 0.781
```


Entry 9:
A plane-wave DFT calculation with PBE was carried out for a relaxed ScPb2Se crystal.

Output
* density of states at the Fermi level: 2.3 states/eV/f.u.
* theoretical density: 8.27 g/cm3
* uncorrected formation energy: -0.62 eV/atom
* total energy: -4.93 eV/atom

Cell and atoms, written as CIF:
```
data_ScPb2Se
_cell_length_a 3.535
_cell_length_b 3.535
_cell_length_c 8.650
_cell_angle_alpha 90.00
_cell_angle_beta 90.00
_cell_angle_gamma 90.00
_space_group_name_H-M_alt 'P 1'
_space_group_IT_number 1
_space_group_name_Hall 'P 1'
loop_
_atom_site_label
_atom_site_fract_x
_atom_site_fract_y
_atom_site_fract_z
Sc1 0.000 0.000 0.000
Pb1 0.000 0.000 0.454
Pb2 0.500 0.500 0.730
Se1 0.500 0.500 0.124
```


Entry 10:
A plane-wave DFT calculation with PBE was carried out for a relaxed Sc4PbSe2 crystal.

Output
* density of states at the Fermi level: 6.8 states/eV/f.u.
* theoretical density: 5.63 g/cm3
* uncorrected formation energy: -1.00 eV/atom
* total energy: -6.14 eV/atom

Cell and atoms, written as CIF:
```
data_Sc4PbSe2
_cell_length_a 13.772
_cell_length_b 13.772
_cell_length_c 13.772
_cell_angle_alpha 15.41
_cell_angle_beta 15.41
_cell_angle_gamma 15.41
_space_group_name_H-M_alt 'P 1'
_space_group_IT_number 1
_space_group_name_Hall 'P 1'
loop_
_atom_site_label
_atom_site_fract_x
_atom_site_fract_y
_atom_site_fract_z
Sc1 0.136 0.136 0.136
Sc2 0.278 0.278 0.278
Sc3 0.722 0.722 0.722
Sc4 0.864 0.864 0.864
Pb1 0.000 0.000 0.000
Se1 0.428 0.428 0.428
Se2 0.572 0.572 0.572
```


Entry 11:
A plane-wave DFT calculation with PBE was carried out for a relaxed ScPb2Se crystal.

Output
* density of states at the Fermi level: 3.7 states/eV/f.u.
* theoretical density: 8.28 g/cm3
* uncorrected formation energy: -0.05 eV/atom
* total energy: -4.36 eV/atom

Cell and atoms, written as CIF:
```
data_ScPb2Se
_cell_length_a 9.085
_cell_length_b 9.085
_cell_length_c 9.085
_cell_angle_alpha 23.88
_cell_angle_beta 23.88
_cell_angle_gamma 23.88
_space_group_name_H-M_alt 'P 1'
_space_group_IT_number 1
_space_group_name_Hall 'P 1'
loop_
_atom_site_label
_atom_site_fract_x
_atom_site_fract_y
_atom_site_fract_z
Sc1 0.000 0.000 0.000
Pb1 0.244 0.244 0.244
Pb2 0.756 0.756 0.756
Se1 0.500 0.500 0.500
```


Entry 12:
A plane-wave DFT calculation with PBE was carried out for a relaxed ScPbSe2 crystal.

Output
* density of states at the Fermi level: 1.5 states/eV/f.u.
* theoretical density: 6.84 g/cm3
* uncorrected formation energy: -0.94 eV/atom
* total energy: -5.19 eV/atom

Cell and atoms, written as CIF:
```
data_ScPbSe2
_cell_length_a 3.442
_cell_length_b 3.534
_cell_length_c 8.188
_cell_angle_alpha 90.00
_cell_angle_beta 91.87
_cell_angle_gamma 90.00
_space_group_name_H-M_alt 'P 1'
_space_group_IT_number 1
_space_group_name_Hall 'P 1'
loop_
_atom_site_label
_atom_site_fract_x
_atom_site_fract_y
_atom_site_fract_z
Sc1 0.000 0.000 0.000
Pb1 0.500 0.000 0.500
Se1 0.498 0.500 0.186
Se2 0.502 0.500 0.814
```